(1)
DFT (PBE) results for an optimized crystal structure of CaTbPm6Tm2.

Calculated values
M_tot	0.00	μB/atom
formation energy	0.139	eV/atom

Cell lengths 8.9522, 8.9522, 9.8302 Å; angles 94.36, 94.36, 118.41 degrees
Positions (direct):
Ca1 0.0986 0.9014 0.7500
Ca2 0.9014 0.0986 0.2500
Tb1 0.4731 0.5269 0.2500
Tb2 0.5269 0.4731 0.7500
Pm1 0.0017 0.7907 0.3771
Pm2 0.0671 0.5279 0.1765
Pm3 0.2093 0.9983 0.1229
Pm4 0.2621 0.6122 0.5516
Pm5 0.3878 0.7379 0.9484
Pm6 0.4721 0.9329 0.3235
Pm7 0.5279 0.0671 0.6765
Pm8 0.6122 0.2621 0.0516
Pm9 0.7379 0.3878 0.4484
Pm10 0.7907 0.0017 0.8771
Pm11 0.9329 0.4721 0.8235
Pm12 0.9983 0.2093 0.6229
Tm1 0.2021 0.3032 0.9562
Tm2 0.3032 0.2021 0.4562
Tm3 0.6968 0.7979 0.5438
Tm4 0.7979 0.6968 0.0438

***

(2)
DFT (PBE) results for an optimized crystal structure of CaTb2Pm6Tm.

Calculated values
M_tot	0.00	μB/atom
formation energy	0.135	eV/atom

Cell lengths 8.9741, 8.9741, 9.8779 Å; angles 94.63, 94.63, 118.70 degrees
Positions (direct):
Ca1 0.0988 0.9012 0.7500
Ca2 0.9012 0.0988 0.2500
Tb1 0.2021 0.3014 0.9577
Tb2 0.3014 0.2021 0.4577
Tb3 0.6986 0.7979 0.5423
Tb4 0.7979 0.6986 0.0423
Pm1 0.0023 0.2143 0.6245
Pm2 0.0727 0.5293 0.1767
Pm3 0.2143 0.0023 0.1245
Pm4 0.2643 0.6163 0.5518
Pm5 0.3837 0.7357 0.9482
Pm6 0.4707 0.9273 0.3233
Pm7 0.5293 0.0727 0.6767
Pm8 0.6163 0.2643 0.0518
Pm9 0.7357 0.3837 0.4482
Pm10 0.7857 0.9977 0.8755
Pm11 0.9273 0.4707 0.8233
Pm12 0.9977 0.7857 0.3755
Tm1 0.4755 0.5245 0.2500
Tm2 0.5245 0.4755 0.7500

***

(3)
DFT (PBE) results for an optimized crystal structure of CaTb2Pm3Y6.

Calculated values
M_tot	0.00	μB/atom
formation energy	0.049	eV/atom

Cell lengths 6.2636, 6.2636, 11.9393 Å; angles 95.01, 95.01, 120.01 degrees
Positions (direct):
Ca1 0.0000 0.0000 0.0000
Tb1 0.3335 0.6665 0.0000
Tb2 0.6665 0.3335 0.0000
Pm1 0.1654 0.8346 0.5000
Pm2 0.5000 0.5000 0.5000
Pm3 0.8346 0.1654 0.5000
Y1 0.0844 0.4231 0.2509
Y2 0.2540 0.2540 0.7489
Y3 0.4231 0.0844 0.2509
Y4 0.5769 0.9156 0.7491
Y5 0.7460 0.7460 0.2511
Y6 0.9156 0.5769 0.7491

***

(4)
DFT (PBE) results for an optimized crystal structure of CaTb2Pm6Y.

Calculated values
M_tot	0.00	μB/atom
formation energy	0.132	eV/atom

Cell lengths 9.0094, 9.0094, 9.8736 Å; angles 94.36, 94.36, 118.89 degrees
Positions (direct):
Ca1 0.0979 0.9021 0.7500
Ca2 0.9021 0.0979 0.2500
Tb1 0.1983 0.3013 0.9578
Tb2 0.3013 0.1983 0.4578
Tb3 0.6987 0.8017 0.5422
Tb4 0.8017 0.6987 0.0422
Pm1 0.0023 0.2141 0.6235
Pm2 0.0709 0.5293 0.1773
Pm3 0.2141 0.0023 0.1235
Pm4 0.2630 0.6178 0.5516
Pm5 0.3822 0.7370 0.9484
Pm6 0.4707 0.9291 0.3227
Pm7 0.5293 0.0709 0.6773
Pm8 0.6178 0.2630 0.0516
Pm9 0.7370 0.3822 0.4484
Pm10 0.7859 0.9977 0.8765
Pm11 0.9291 0.4707 0.8227
Pm12 0.9977 0.7859 0.3765
Y1 0.4755 0.5245 0.2500
Y2 0.5245 0.4755 0.7500

***

(5)
DFT (PBE) results for an optimized crystal structure of CaTb3Pm6Y2.

Calculated values
M_tot	0.00	μB/atom
formation energy	0.033	eV/atom

Cell lengths 6.3001, 6.3001, 11.9463 Å; angles 95.01, 95.01, 120.00 degrees
Positions (direct):
Ca1 0.0000 0.0000 0.0000
Tb1 0.1663 0.8337 0.5000
Tb2 0.5000 0.5000 0.5000
Tb3 0.8337 0.1663 0.5000
Pm1 0.0848 0.4245 0.2532
Pm2 0.2547 0.2547 0.7462
Pm3 0.4245 0.0848 0.2532
Pm4 0.5755 0.9152 0.7468
Pm5 0.7453 0.7453 0.2538
Pm6 0.9152 0.5755 0.7468
Y1 0.3333 0.6667 0.0000
Y2 0.6667 0.3333 0.0000

***

(6)
DFT (PBE) results for an optimized crystal structure of CaTb4Pm2Y.

Calculated values
M_tot	0.00	μB/atom
formation energy	0.422	eV/atom

Cell lengths 9.6229, 9.6229, 6.8638 Å; angles 110.87, 110.87, 88.14 degrees
Positions (direct):
Ca1 0.0000 0.0000 0.0000
Ca2 0.0000 0.0000 0.5000
Tb1 0.2418 0.7373 0.9872
Tb2 0.2627 0.7582 0.5128
Tb3 0.2642 0.2647 0.5217
Tb4 0.2647 0.2642 0.0217
Tb5 0.7353 0.7358 0.9783
Tb6 0.7358 0.7353 0.4783
Tb7 0.7373 0.2418 0.4872
Tb8 0.7582 0.2627 0.0128
Pm1 0.0000 0.5000 0.5000
Pm2 0.5000 0.0000 0.0000
Pm3 0.5000 0.5000 0.0000
Pm4 0.5000 0.5000 0.5000
Y1 0.0000 0.5000 0.0000
Y2 0.5000 0.0000 0.5000

***

(7)
DFT (PBE) results for an optimized crystal structure of CaTb2PmY4.

Calculated values
M_tot	0.32	μB/atom
formation energy	0.430	eV/atom

Cell lengths 9.6411, 9.6411, 6.8689 Å; angles 110.83, 110.83, 88.41 degrees
Positions (direct):
Ca1 0.0000 0.0000 0.0000
Ca2 0.0000 0.0000 0.5000
Tb1 0.0000 0.5000 0.0000
Tb2 0.5000 0.0000 0.5000
Tb3 0.5000 0.5000 0.0000
Tb4 0.5000 0.5000 0.5000
Pm1 0.0000 0.5000 0.5000
Pm2 0.5000 0.0000 0.0000
Y1 0.2530 0.7463 0.0005
Y2 0.2537 0.7470 0.4995
Y3 0.2634 0.2663 0.0173
Y4 0.2663 0.2634 0.5173
Y5 0.7337 0.7366 0.4827
Y6 0.7366 0.7337 0.9827
Y7 0.7463 0.2530 0.5005
Y8 0.7470 0.2537 0.9995

***

(8)
DFT (PBE) results for an optimized crystal structure of CaTbPmZn.

Calculated values
M_tot	0.00	μB/atom
formation energy	-0.123	eV/atom

Cell lengths 3.5900, 3.5900, 9.2333 Å; angles 90.00, 90.00, 90.00 degrees
Positions (direct):
Ca1 0.0000 0.0000 0.0000
Tb1 0.0000 0.0000 0.3997
Pm1 0.5000 0.5000 0.6751
Zn1 0.5000 0.5000 0.2115